Record 1
Below is crystalline La3InCo at its relaxed geometry, with properties calculated at the PBE level.

Summary:
Energy above the lowest structure with this stoichiometry = 0.000 eV/atom
Formation enthalpy at 0 K = -1.458 eV/f.u.

The structure in extended XYZ format:
```
10
Lattice="4.357 0.000 6.123 -2.179 3.773 6.123 -2.179 -3.773 6.123" Properties=species:S:1:pos:R:3 pbc="T T T"
In 0.000 0.000 13.709
In 0.000 0.000 4.525
Co 0.000 0.000 9.116
La -1.327 -1.750 7.586
La -2.178 0.275 10.648
La 2.179 -0.275 7.586
La 0.851 -2.024 10.648
La -0.852 2.024 7.586
Co 0.000 0.000 18.300
La 1.327 1.749 10.648
```

Record 2
Below is crystalline AgAuSe at its relaxed geometry, with properties calculated at the PBE level.

Summary:
Formation energy without anion corrections = 162.1 meV/atom

The structure in extended XYZ format:
```
3
Lattice="7.428 0.113 0.000 6.263 3.996 0.000 -6.845 -2.055 2.027" Properties=species:S:1:pos:R:3 pbc="T T T"
Ag 13.637 4.093 0.000
Au 4.737 1.422 0.000
Se 9.008 2.704 0.000
```

One value per record, in order, for raw total energy: -5.217; -3.042 eV/atom.